A plane-wave DFT calculation with PBE-GGA was carried out for a relaxed structure of Sm6Mg2Pd.

Values from the calculation:
As for the total energy: -4.16 eV per atom. Its space-group type is No. 14.

Cell and atoms, written as extended XYZ:
```
18
Lattice="6.544 0.000 0.000 0.000 7.958 0.000 -4.119 0.000 10.515" Properties=species:S:1:pos:R:3 pbc="T T T"
Sm -0.344 0.316 2.655
Sm -2.404 3.662 7.912
Sm 0.905 5.656 0.366
Sm -1.154 6.280 5.623
Sm 2.293 1.249 0.112
Sm 0.233 2.730 5.370
Sm 2.191 5.228 5.145
Sm 0.131 6.709 10.403
Sm 3.579 1.677 4.892
Sm 1.519 2.301 10.149
Sm 4.829 4.295 2.603
Sm 2.769 7.641 7.860
Mg -0.455 0.697 7.707
Mg 1.605 3.282 2.449
Mg 0.820 4.676 8.066
Mg 2.880 7.261 2.808
Pd 1.212 0.000 5.257
Pd 3.272 3.979 0.000
```

A plane-wave DFT calculation with PBE-GGA was carried out for a relaxed structure of AlB3Ir.

Values from the calculation:
As for the total energy: -5.53 eV per atom. Its space-group type is No. 221.

Cell and atoms, written as extended XYZ:
```
5
Lattice="4.142 0.000 0.000 0.000 4.142 0.000 0.000 0.000 4.142" Properties=species:S:1:pos:R:3 pbc="T T T"
Al 0.000 0.000 0.000
B 0.000 2.071 2.071
B 2.071 0.000 2.071
B 2.071 2.071 0.000
Ir 2.071 2.071 2.071
```

A plane-wave DFT calculation with PBE-GGA was carried out for a relaxed structure of AlSiB.

Values from the calculation:
As for the total energy: -5.12 eV per atom. The calculation puts the formation energy without anion corrections at 3.81 kcal/mol of atoms. Its space-group type is No. 8.

Cell and atoms, written as extended XYZ:
```
6
Lattice="4.904 -1.670 0.000 4.904 1.670 0.000 -2.619 0.000 5.175" Properties=species:S:1:pos:R:3 pbc="T T T"
Al 0.000 0.000 0.000
Al -0.450 0.000 2.799
Si 2.600 0.000 0.229
Si 6.489 0.000 2.706
B 1.473 0.000 3.905
B 7.857 0.000 1.259
```

A plane-wave DFT calculation with PBE-GGA was carried out for a relaxed structure of ZrCrB.

Values from the calculation:
As for the total energy: -8.30 eV per atom. Its space-group type is No. 194.

Cell and atoms, written as extended XYZ:
```
6
Lattice="3.598 0.000 0.000 -1.799 3.116 0.000 0.000 0.000 7.304" Properties=species:S:1:pos:R:3 pbc="T T T"
Zr 0.000 0.000 0.000
Zr 0.000 0.000 3.652
Cr 0.000 2.077 1.826
Cr 1.799 1.039 5.478
B 0.000 2.077 5.478
B 1.799 1.039 1.826
```

A plane-wave DFT calculation with PBE-GGA was carried out for a relaxed structure of Cs2Cd7In12.

Values from the calculation:
As for the total energy: -1.97 eV per atom. Its space-group type is No. 147.

Cell and atoms, written as extended XYZ:
```
21
Lattice="12.024 0.000 0.000 -6.012 10.413 0.000 0.000 0.000 4.950" Properties=species:S:1:pos:R:3 pbc="T T T"
Cs 0.000 6.942 1.219
Cs 6.012 3.471 3.731
Cd 0.000 0.000 2.475
Cd -2.956 7.265 3.627
Cd 1.198 4.220 3.627
Cd 4.253 1.072 1.323
Cd 1.758 9.340 3.627
Cd 4.814 6.193 1.323
Cd 8.968 3.147 1.323
In -1.820 4.461 3.750
In -0.013 2.666 1.106
In -3.696 9.090 1.106
In 2.303 1.344 3.843
In -1.238 9.758 3.750
In 2.954 3.807 1.200
In 3.058 6.606 3.750
In 7.250 0.655 1.200
In 3.709 9.068 1.106
In 9.708 1.322 3.843
In 6.024 7.746 3.843
In 7.832 5.951 1.200
```

A plane-wave DFT calculation with PBE-GGA was carried out for a relaxed structure of Rb3Tl3Cd2.

Values from the calculation:
As for the total energy: -1.52 eV per atom. Its space-group type is No. 62.

Cell and atoms, written as extended XYZ:
```
32
Lattice="9.945 0.000 0.000 0.000 18.392 0.000 0.000 0.000 7.172" Properties=species:S:1:pos:R:3 pbc="T T T"
Rb 0.361 1.956 0.814
Rb 0.361 7.240 0.814
Rb 1.934 4.598 4.280
Rb 3.038 13.794 0.694
Rb 4.611 11.152 4.400
Rb 4.611 16.436 4.400
Rb 5.333 1.956 2.772
Rb 5.333 7.240 2.772
Rb 6.907 4.598 6.478
Rb 8.010 13.794 2.892
Rb 9.584 11.152 6.358
Rb 9.584 16.436 6.358
Tl 1.596 13.794 4.178
Tl 1.770 0.728 4.348
Tl 1.770 8.468 4.348
Tl 3.203 9.924 0.762
Tl 3.203 17.663 0.762
Tl 3.377 4.598 0.592
Tl 6.568 13.794 6.580
Tl 6.742 0.728 6.410
Tl 6.742 8.468 6.410
Tl 8.175 9.924 2.824
Tl 8.175 17.663 2.824
Tl 8.349 4.598 2.994
Cd 1.099 11.085 2.800
Cd 1.099 16.503 2.800
Cd 3.873 1.889 6.386
Cd 3.873 7.307 6.386
Cd 6.072 11.085 0.785
Cd 6.072 16.503 0.785
Cd 8.845 1.889 4.371
Cd 8.845 7.307 4.371
```

A plane-wave DFT calculation with PBE-GGA was carried out for a relaxed structure of Pm6BiSb2As3.

Values from the calculation:
As for the total energy: -5.85 eV per atom. The calculation puts the formation energy without anion corrections at -29.95 kcal/mol of atoms. Its space-group type is No. 12.

Cell and atoms, written as extended XYZ:
```
12
Lattice="9.570 -2.180 0.000 9.570 2.180 0.000 -2.132 0.000 8.531" Properties=species:S:1:pos:R:3 pbc="T T T"
Pm -0.431 0.000 2.019
Pm 5.371 0.000 3.625
Pm 4.503 0.000 7.747
Pm 12.504 0.000 0.784
Pm 11.636 0.000 4.906
Pm 17.438 0.000 6.512
Bi 8.503 0.000 4.265
Sb 1.410 0.000 7.105
Sb 15.597 0.000 1.426
As 2.477 0.000 2.839
As 9.570 0.000 0.000
As 14.530 0.000 5.692
```

A plane-wave DFT calculation with PBE-GGA was carried out for a relaxed structure of Er2CoCuC.

Values from the calculation:
As for the total energy: -6.26 eV per atom. Its space-group type is No. 123.

Cell and atoms, written as extended XYZ:
```
5
Lattice="4.880 0.000 0.000 0.000 4.880 0.000 0.000 0.000 3.597" Properties=species:S:1:pos:R:3 pbc="T T T"
Er 0.000 2.440 0.000
Er 2.440 0.000 0.000
Co 0.000 0.000 1.799
Cu 2.440 2.440 1.799
C 0.000 0.000 0.000
```

A plane-wave DFT calculation with PBE-GGA was carried out for a relaxed structure of BeTl2Si.

Values from the calculation:
As for the total energy: -2.73 eV per atom. The calculation puts the formation energy without anion corrections at 17.10 kcal/mol of atoms. Its space-group type is No. 10.

Cell and atoms, written as extended XYZ:
```
4
Lattice="3.619 0.000 0.000 0.000 3.829 0.000 -1.743 0.000 6.242" Properties=species:S:1:pos:R:3 pbc="T T T"
Be 0.000 0.000 0.000
Tl -0.634 1.915 4.754
Tl 2.509 1.915 1.488
Si 0.938 0.000 3.121
```

A plane-wave DFT calculation with PBE-GGA was carried out for a relaxed structure of Tb4DyPd2.

Values from the calculation:
As for the total energy: -5.13 eV per atom. Its space-group type is No. 166.

Cell and atoms, written as extended XYZ:
```
7
Lattice="1.987 1.147 15.052 -1.987 1.147 15.052 0.000 -2.295 15.052" Properties=species:S:1:pos:R:3 pbc="T T T"
Tb 0.000 0.000 4.727
Tb 0.000 0.000 13.627
Tb 0.000 0.000 31.528
Tb 0.000 0.000 40.428
Dy 0.000 0.000 22.578
Pd 0.000 0.000 18.125
Pd 0.000 0.000 27.030
```

A plane-wave DFT calculation with PBE-GGA was carried out for a relaxed structure of La3CdO.

Values from the calculation:
As for the total energy: -5.30 eV per atom. The calculation puts the formation energy without anion corrections at -26.88 kcal/mol of atoms. Its space-group type is No. 14.

Cell and atoms, written as extended XYZ:
```
20
Lattice="9.113 0.000 0.000 0.000 6.693 0.000 -4.154 0.000 8.873" Properties=species:S:1:pos:R:3 pbc="T T T"
La -0.944 0.636 3.112
La -3.022 2.710 7.548
La -0.549 3.925 4.838
La 1.528 6.114 0.401
La -0.003 0.755 6.728
La 2.074 2.591 2.291
La 2.884 4.101 6.582
La 4.961 5.938 2.146
La 3.430 0.578 8.472
La 5.508 2.768 4.035
La 7.980 3.983 1.325
La 5.903 6.056 5.762
Cd -0.080 4.409 8.084
Cd 1.997 5.630 3.648
Cd 2.962 1.062 5.225
Cd 5.039 2.284 0.789
O -1.864 1.640 5.398
O 0.214 1.706 0.962
O 4.745 4.986 7.912
O 6.822 5.053 3.475
```

A plane-wave DFT calculation with PBE-GGA was carried out for a relaxed structure of Ca2IrAuC.

Values from the calculation:
As for the total energy: -5.52 eV per atom. Its space-group type is No. 123.

Cell and atoms, written as extended XYZ:
```
5
Lattice="5.154 0.000 0.000 0.000 5.154 0.000 0.000 0.000 3.844" Properties=species:S:1:pos:R:3 pbc="T T T"
Ca 0.000 2.577 0.000
Ca 2.577 0.000 0.000
Ir 0.000 0.000 1.922
Au 2.577 2.577 1.922
C 0.000 0.000 0.000
```

Looking at calculated volume for the records above, in order, we have 30.420; 14.212; 14.126; 13.653; 29.510; 40.990; 29.666; 17.130; 21.625; 29.418; 27.059; 20.421 A^3/atom.